The following is a PBEsol calculation of a geometry-optimized TiBeTcIr2 structure, from Alexandria via LeMat-Bulk.

Properties
Density of states at the Fermi level ... 0.803 states/eV per atom
Crystal system ... tetragonal
Energy relative to the elements ... 0.82 eV per formula unit
E ... -8.48 eV per atom

Cell lengths 4.0119, 4.0119, 4.2044 Å; angles 90.00, 90.00, 90.00 degrees
Space group P4/mmm (No. 123)
Inequivalent atoms, fractional coordinates:
Ti: 0.0000 0.0000 0.0000 [1 per cell]
Be: 0.0000 0.0000 0.5000 [1 per cell]
Tc: 0.5000 0.5000 0.0000 [1 per cell]
Ir: 0.0000 0.5000 0.5000 [2 per cell]

---

The following is a PBEsol calculation of a geometry-optimized BeTeIr structure, from Alexandria via LeMat-Bulk.

Properties
Density of states at the Fermi level ... 0.401 states/eV per atom
Raw formation energy ... 0.195 eV/atom
Crystal system ... tetragonal
E ... -5.59 eV per atom

Cell lengths 3.0342, 3.0342, 10.4459 Å; angles 90.00, 90.00, 90.00 degrees
Space group I4mm (No. 107)
Inequivalent atoms, fractional coordinates:
Be: 0.0000 0.0000 0.0000 [2 per cell]
Te: 0.0000 0.0000 0.7072 [2 per cell]
Ir: 0.0000 0.0000 0.4274 [2 per cell]

---

Repeat the first record exactly.
The following is a PBEsol calculation of a geometry-optimized TiBeTcIr2 structure, from Alexandria via LeMat-Bulk.

Properties
Density of states at the Fermi level ... 0.803 states/eV per atom
Crystal system ... tetragonal
Energy relative to the elements ... 0.82 eV per formula unit
E ... -8.48 eV per atom

Cell lengths 4.0119, 4.0119, 4.2044 Å; angles 90.00, 90.00, 90.00 degrees
Space group P4/mmm (No. 123)
Inequivalent atoms, fractional coordinates:
Ti: 0.0000 0.0000 0.0000 [1 per cell]
Be: 0.0000 0.0000 0.5000 [1 per cell]
Tc: 0.5000 0.5000 0.0000 [1 per cell]
Ir: 0.0000 0.5000 0.5000 [2 per cell]

---

- Look up the density of states at the Fermi level of the second one.
  0.401 states/eV per atom

---

- E of number 2 (BeTeIr)?
  -5.59 eV per atom

---

- What is the E in the first record?
  -8.48 eV per atom